[1]
This record from Alexandria via LeMat-Bulk describes crystalline CdGaPdC2 at its relaxed geometry. The functional is GGA-PBE.

Computed properties:
SG   No. 123
Energy relative to the elements   1170 kJ/mol of formula units

a b c (Å): 4.1418 5.4542 4.1418
angles (deg): 90.00 90.00 90.00
Atoms (fractional coordinates):
Pd: 0.5000 0.5000 0.5000
Ga: 0.0000 0.5000 0.0000
C: 0.0000 0.0000 0.5000
C: 0.5000 0.0000 0.0000
Cd: 0.0000 0.0000 0.0000


[2]
This record from Alexandria via LeMat-Bulk describes crystalline CdGaCS2 at its relaxed geometry. The functional is GGA-PBE.

Computed properties:
SG   No. 123
E_form (uncorrected)   1.62 eV/atom

a b c (Å): 4.5909 5.7407 4.5909
angles (deg): 90.00 90.00 90.00
Atoms (fractional coordinates):
Ga: 0.0000 0.0000 0.0000
S: 0.0000 0.0000 0.5000
S: 0.5000 0.0000 0.0000
C: 0.5000 0.5000 0.5000
Cd: 0.0000 0.5000 0.0000


[3]
This record from Alexandria via LeMat-Bulk describes crystalline CdGaC2S at its relaxed geometry. The functional is GGA-PBE.

Computed properties:
SG   No. 123
Excess energy over the best structure of this formula in the dataset   0.000 eV per formula unit
E_form (uncorrected)   1.80 eV/atom

a b c (Å): 3.8036 8.8831 3.8036
angles (deg): 90.00 90.00 90.00
Atoms (fractional coordinates):
C: 0.5000 0.0000 0.0000
C: 0.0000 0.0000 0.5000
S: 0.5000 0.5000 0.5000
Ga: 0.0000 0.0000 0.0000
Cd: 0.0000 0.5000 0.0000


[4]
This record from Alexandria via LeMat-Bulk describes crystalline CdGaC2S at its relaxed geometry. The functional is GGA-PBE.

Computed properties:
SG   No. 123
Excess energy over the best structure of this formula in the dataset   0.876 eV per formula unit
E_form (uncorrected)   1.97 eV/atom

a b c (Å): 3.7089 5.7909 3.7089
angles (deg): 90.00 90.00 90.00
Atoms (fractional coordinates):
C: 0.5000 0.0000 0.0000
C: 0.0000 0.0000 0.5000
Ga: 0.5000 0.5000 0.5000
Cd: 0.0000 0.5000 0.0000
S: 0.0000 0.0000 0.0000


| no. | DFT total energy (eV per atom) |
| --- | --- |
| 1 | -3.09 |
| 2 | -2.66 |
| 3 | -3.51 |
| 4 | -3.33 |